[1]
The following is a PBE calculation of a geometry-optimized Rb4SeS structure, from the Alexandria database.

Cell: 5.638 5.640 9.763 Å, 73.26 73.22 60.01°
Sites, in units of the cell vectors:
Rb 0.627 0.628 0.117
Rb 0.373 0.372 0.883
Rb 0.122 0.122 0.633
Rb 0.878 0.878 0.367
Se 0.500 0.500 0.500
S 0.000 0.000 0.000

Output
- Calculated volume: 253.5 Å³ per cell
- Uncorrected energy: -17.66 eV per cell
- Formation energy from raw total energies: -1029 meV per atom
- Space group: No. 166

***

[2]
The following is a PBE calculation of a geometry-optimized Zn8Cu6Rh structure, from the Alexandria database.

Cell: 6.646 6.646 6.599 Å, 59.77 59.77 60.00°
Sites, in units of the cell vectors:
Zn 0.658 0.130 0.383
Zn 0.870 0.171 0.617
Zn 0.171 0.342 0.617
Zn 0.587 0.587 0.239
Zn 0.413 0.413 0.761
Zn 0.829 0.658 0.383
Zn 0.130 0.829 0.383
Zn 0.342 0.870 0.617
Cu 0.474 0.941 0.865
Cu 0.059 0.280 0.135
Cu 0.280 0.526 0.135
Cu 0.720 0.474 0.865
Cu 0.941 0.720 0.865
Cu 0.526 0.059 0.135
Rh 0.000 0.000 0.000

Output
- Calculated volume: 205.4 Å³ per cell
- Uncorrected energy: -42.61 eV per cell
- Space group: No. 148

***

[3]
The following is a PBE calculation of a geometry-optimized CaZrAl2Tl structure, from the Alexandria database.

Cell: 5.406 5.172 5.406 Å, 90.00 90.00 90.00°
Sites, in units of the cell vectors:
Tl 0.500 0.500 0.500
Ca 0.000 0.000 0.000
Zr 0.000 0.500 0.000
Al 0.000 0.000 0.500
Al 0.500 0.000 0.000

Output
- Calculated volume: 151.2 Å³ per cell
- Uncorrected energy: -14.17 eV per cell
- Space group: No. 123

***

[4]
The following is a PBE calculation of a geometry-optimized Be2TlZn structure, from the Alexandria database.

Cell: 4.400 4.400 4.400 Å, 60.00 60.00 60.00°
Sites, in units of the cell vectors:
Be 0.250 0.250 0.250
Be 0.750 0.750 0.750
Tl 0.500 0.500 0.500
Zn 0.000 0.000 0.000

Output
- Calculated volume: 60.2 Å³ per cell
- Uncorrected energy: -8.24 eV per cell
- Energy above the lowest structure with this stoichiometry: 0.422 eV/atom
- Space group: No. 225